The following is a PBE calculation of an optimized crystal structure of K2SiHgS4, from Alexandria.

Cell lengths 8.1716, 8.1716, 9.0205 Å; angles 121.06, 121.06, 79.61 degrees
Fractional coordinates of all 16 atoms:
K: 0.0000 0.0000 0.0000
K: 0.0000 0.0000 0.5000
K: 0.0000 0.5000 0.0000
K: 0.5000 0.0000 0.5000
Si: 0.0000 0.5000 0.5000
Si: 0.5000 0.0000 0.0000
Hg: 0.5000 0.5000 0.0000
Hg: 0.5000 0.5000 0.5000
S: 0.1804 0.2861 0.5046
S: 0.2054 0.6484 0.4662
S: 0.2861 0.1804 0.0046
S: 0.3516 0.7946 0.0338
S: 0.6484 0.2054 0.9662
S: 0.7139 0.8196 0.9954
S: 0.7946 0.3516 0.5338
S: 0.8196 0.7139 0.4954

Calculated values
E_form (uncorrected): -547 meV/atom
SG: No. 15
Calculated total energy: -3.601 eV/atom